# 1
! La2Zn3CdPd4 | the Alexandria database | PBE-GGA | relaxed; values from VASP
&SYSTEM
  ibrav = 0, nat = 10, ntyp = 4
/
ATOMIC_SPECIES
La 138.91 La.upf
Zn 65.41 Zn.upf
Cd 112.41 Cd.upf
Pd 106.42 Pd.upf
ATOMIC_POSITIONS crystal
La 0.000 0.500 0.241
La 0.500 0.000 0.759
Zn 0.000 0.500 0.876
Zn 0.500 0.000 0.124
Zn 0.500 0.500 0.500
Cd 0.000 0.000 0.500
Pd 0.000 0.000 0.000
Pd 0.000 0.500 0.652
Pd 0.500 0.000 0.348
Pd 0.500 0.500 0.000
CELL_PARAMETERS angstrom
4.274 0.000 0.000
0.000 4.274 0.000
0.000 0.000 11.185
! E = -41.433 eV for the cell shown


# 2
! LiCrP | the Alexandria database | PBE-GGA | relaxed; values from VASP
&SYSTEM
  ibrav = 0, nat = 12, ntyp = 3
/
ATOMIC_SPECIES
Li 6.94 Li.upf
Cr 52.00 Cr.upf
P 30.97 P.upf
ATOMIC_POSITIONS crystal
Li 0.000 0.000 0.000
Li 0.000 0.500 0.500
Li 0.500 0.000 0.500
Li 0.500 0.500 0.000
Cr 0.250 0.250 0.250
Cr 0.250 0.750 0.750
Cr 0.750 0.250 0.750
Cr 0.750 0.750 0.250
P 0.000 0.000 0.500
P 0.000 0.500 0.000
P 0.500 0.000 0.000
P 0.500 0.500 0.500
CELL_PARAMETERS angstrom
5.789 0.000 0.000
0.000 5.789 0.000
0.000 0.000 5.789
! E = -68.177 eV for the cell shown


# 3
! RbB3Pt | the Alexandria database | PBE-GGA | relaxed; values from VASP
&SYSTEM
  ibrav = 0, nat = 5, ntyp = 3
/
ATOMIC_SPECIES
Rb 85.47 Rb.upf
B 10.81 B.upf
Pt 195.08 Pt.upf
ATOMIC_POSITIONS crystal
Rb 0.000 0.000 0.000
B 0.000 0.000 0.500
B 0.000 0.500 0.000
B 0.500 0.000 0.000
Pt 0.500 0.500 0.500
CELL_PARAMETERS angstrom
4.511 0.000 0.000
0.000 4.511 0.000
0.000 0.000 4.511
! E above lowest polymorph = 2514 meV per atom


# 4
! Tb2Sm3Sc | the Alexandria database | PBE-GGA | relaxed; values from VASP
&SYSTEM
  ibrav = 0, nat = 12, ntyp = 3
/
ATOMIC_SPECIES
Tb 158.93 Tb.upf
Sm 150.36 Sm.upf
Sc 44.96 Sc.upf
ATOMIC_POSITIONS crystal
Tb 0.109 0.236 0.000
Tb 0.236 0.109 0.500
Tb 0.764 0.891 0.000
Tb 0.891 0.764 0.500
Sm 0.043 0.632 0.001
Sm 0.306 0.694 0.502
Sm 0.368 0.957 0.001
Sm 0.632 0.043 0.501
Sm 0.694 0.306 0.002
Sm 0.957 0.368 0.501
Sc 0.436 0.564 0.004
Sc 0.564 0.436 0.504
CELL_PARAMETERS angstrom
5.117 -6.597 0.000
5.117 6.597 0.000
0.000 0.000 5.793
! E above lowest polymorph = 225 meV per atom